Entry 1:
Material: BaTlSeS
Method: DFT, PBE
State: relaxed

Calculated values
space-group type	No. 216
formation energy (no corrections)	-0.92	eV/atom
calculated volume	114.59	Å³ per cell
total magnetic moment	0.0	μB/cell
crystal system	cubic

Unit cell a=5.452 b=5.452 c=5.452 alpha=60.00 beta=60.00 gamma=60.00
Sites, in units of the cell vectors:
Se: 0.750 0.750 0.750
Tl: 0.000 0.000 0.000
S: 0.250 0.250 0.250
Ba: 0.500 0.500 0.500

Entry 2:
Material: MnBe2Re
Method: DFT, PBE
State: relaxed

Calculated values
space-group type	No. 160
energy relative to the elements	0.235	eV per atom
calculated volume	46.20	Å³ per cell
total magnetic moment	0.0	μB/cell
energy above the lowest structure with this stoichiometry	350.1	meV/atom
crystal system	trigonal

Unit cell a=7.902 b=7.902 c=7.902 alpha=19.10 beta=19.10 gamma=19.10
Sites, in units of the cell vectors:
Mn: 0.504 0.504 0.504
Be: 0.249 0.249 0.249
Re: 0.750 0.750 0.750
Be: 0.996 0.996 0.996

Entry 3:
Material: MgCuW
Method: DFT, PBE
State: relaxed

Calculated values
space-group type	No. 216
energy relative to the elements	0.954	eV per atom
calculated volume	51.79	Å³ per cell
total magnetic moment	0.9	μB/cell
energy above the lowest structure with this stoichiometry	676.9	meV/atom
crystal system	cubic

Unit cell a=4.184 b=4.184 c=4.184 alpha=60.00 beta=60.00 gamma=60.00
Sites, in units of the cell vectors:
Mg: 0.000 0.000 0.000
W: 0.500 0.500 0.500
Cu: 0.750 0.750 0.750

Entry 4:
Material: ScTaCrCoAs
Method: DFT, PBE
State: relaxed

Calculated values
space-group type	No. 25
energy relative to the elements	-0.047	eV per atom
calculated volume	81.55	Å³ per cell
total magnetic moment	1.2	μB/cell
energy above the lowest structure with this stoichiometry	301.6	meV/atom
crystal system	orthorhombic

Unit cell a=4.030 b=3.822 c=5.295 alpha=90.00 beta=90.00 gamma=90.00
Sites, in units of the cell vectors:
Sc: 0.000 0.000 0.596
As: 0.500 0.000 0.080
Cr: 0.500 0.500 0.392
Ta: 0.000 0.500 0.080
Co: 0.500 0.500 0.799